w) # Mn2SiTe

A geometry-optimized Mn2SiTe structure (GGA-PBE, the Alexandria database).

Unit cell a=3.318 b=3.318 c=5.577 alpha=90.00 beta=90.00 gamma=90.00
Fractional positions:
Mn1 0.000 0.000 0.000
Mn2 0.500 0.500 0.296
Si1 0.000 0.000 0.422
Te1 0.500 0.500 0.795

Total moment in μB per atom: 1.014
Space-group type: No. 99

---

x) # Mn2SiTe

A geometry-optimized Mn2SiTe structure (GGA-PBE, the Alexandria database).

Unit cell a=3.246 b=6.405 c=6.405 alpha=31.38 beta=90.00 gamma=90.00
Fractional positions:
Mn1 0.000 0.000 0.000
Mn2 0.500 0.175 0.175
Si1 0.500 0.535 0.535
Te1 0.000 0.784 0.784

Total moment in μB per atom: 1.184
Space-group type: No. 38

---

y) # Mn2SiTe

A geometry-optimized Mn2SiTe structure (GGA-PBE, the Alexandria database).

Unit cell a=5.134 b=5.134 c=5.134 alpha=135.72 beta=135.72 gamma=64.41
Fractional positions:
Mn1 0.000 0.000 0.000
Mn2 0.750 0.250 0.500
Si1 0.250 0.750 0.500
Te1 0.500 0.500 0.000

Total moment in μB per atom: 1.566
Space-group type: No. 119

---

z) # Mn2SiTe

A geometry-optimized Mn2SiTe structure (GGA-PBE, the Alexandria database).

Unit cell a=4.444 b=4.444 c=4.444 alpha=60.00 beta=60.00 gamma=60.00
Fractional positions:
Mn1 0.000 0.000 0.000
Mn2 0.250 0.250 0.250
Si1 0.500 0.500 0.500
Te1 0.750 0.750 0.750

Total moment in μB per atom: 1.096
Space-group type: No. 216

---

The least stable of them is z).

---

w) # Mn2SiTe

A geometry-optimized Mn2SiTe structure (GGA-PBE, the Alexandria database).

Unit cell a=4.478 b=4.478 c=3.422 alpha=94.23 beta=94.23 gamma=99.50
Fractional positions:
Mn1 0.000 0.500 0.000
Mn2 0.500 0.000 0.000
Si1 0.000 0.000 0.500
Te1 0.500 0.500 0.500

Total moment in μB per atom: 1.605
Space-group type: No. 12

---

x) # Mn2SiTe

A geometry-optimized Mn2SiTe structure (GGA-PBE, the Alexandria database).

Unit cell a=8.024 b=8.024 c=8.024 alpha=143.07 beta=143.07 gamma=53.22
Fractional positions:
Mn1 0.065 0.625 0.940
Mn2 0.375 0.315 0.440
Mn3 0.685 0.125 0.060
Mn4 0.875 0.935 0.560
Si1 0.000 0.000 0.000
Si2 0.750 0.250 0.500
Te1 0.250 0.750 0.500
Te2 0.500 0.500 0.000

Total moment in μB per atom: 1.849
Space-group type: No. 122

---

y) # Mn2SiTe

A geometry-optimized Mn2SiTe structure (GGA-PBE, the Alexandria database).

Unit cell a=3.050 b=3.050 c=6.684 alpha=90.00 beta=90.00 gamma=90.00
Fractional positions:
Mn1 0.000 0.000 0.194
Mn2 0.000 0.000 0.806
Si1 0.500 0.500 0.000
Te1 0.500 0.500 0.500

Total moment in μB per atom: 1.162
Space-group type: No. 123

---

z) # Mn2SiTe

A geometry-optimized Mn2SiTe structure (GGA-PBE, the Alexandria database).

Unit cell a=7.959 b=7.959 c=7.959 alpha=23.23 beta=23.23 gamma=23.23
Fractional positions:
Mn1 0.000 0.000 0.000
Mn2 0.254 0.254 0.254
Si1 0.526 0.526 0.526
Te1 0.748 0.748 0.748

Total moment in μB per atom: 1.140
Space-group type: No. 160

---

The least stable of them is z).

---

w) # Mn2SiTe

A geometry-optimized Mn2SiTe structure (GGA-PBE, the Alexandria database).

Unit cell a=6.395 b=6.395 c=6.395 alpha=151.95 beta=147.24 gamma=43.66
Fractional positions:
Mn1 0.000 0.000 0.000
Mn2 0.812 0.312 0.500
Si1 0.447 0.447 0.000
Te1 0.191 0.691 0.500

Total moment in μB per atom: 1.226
Space-group type: No. 44

---

x) # Mn2SiTe

A geometry-optimized Mn2SiTe structure (GGA-PBE, the Alexandria database).

Unit cell a=4.237 b=4.237 c=4.237 alpha=60.00 beta=60.00 gamma=60.00
Fractional positions:
Mn1 0.250 0.250 0.250
Mn2 0.750 0.750 0.750
Si1 0.000 0.000 0.000
Te1 0.500 0.500 0.500

Total moment in μB per atom: 0.000
Space-group type: No. 225

---

The least stable of them is x).

---

w) # Mn2SiTe

A geometry-optimized Mn2SiTe structure (GGA-PBE, the Alexandria database).

Unit cell a=6.244 b=6.244 c=6.244 alpha=34.50 beta=34.50 gamma=34.50
Fractional positions:
Mn1 0.226 0.226 0.226
Mn2 0.774 0.774 0.774
Si1 0.500 0.500 0.500
Te1 0.000 0.000 0.000

Total moment in μB per atom: 1.373
Space-group type: No. 166

---

x) # Mn2SiTe

A geometry-optimized Mn2SiTe structure (GGA-PBE, the Alexandria database).

Unit cell a=4.714 b=4.714 c=4.714 alpha=132.78 beta=117.20 gamma=82.17
Fractional positions:
Mn1 0.208 0.208 0.000
Mn2 0.792 0.792 0.000
Si1 0.000 0.500 0.500
Te1 0.500 0.000 0.500

Total moment in μB per atom: 1.396
Space-group type: No. 71

---

y) # Mn2SiTe

A geometry-optimized Mn2SiTe structure (GGA-PBE, the Alexandria database).

Unit cell a=4.225 b=4.225 c=3.043 alpha=90.00 beta=90.00 gamma=90.00
Fractional positions:
Mn1 0.000 0.500 0.000
Mn2 0.500 0.000 0.000
Si1 0.000 0.000 0.500
Te1 0.500 0.500 0.500

Total moment in μB per atom: 0.000
Space-group type: No. 123

---

The least stable of them is y).